Density functional theory data (PBE) for a relaxed TlBi2O4 crystal.

Cell and atoms, written as CIF:
```
data_TlBi2O4
_symmetry_space_group_name_H-M 'P 1'
_symmetry_Int_Tables_number 1
_cell_length_a 7.1796
_cell_length_b 7.1796
_cell_length_c 7.1813
_cell_angle_alpha 119.99
_cell_angle_beta 119.99
_cell_angle_gamma 90.00
loop_
_symmetry_equiv_pos_as_xyz
'x,y,z'
loop_
_atom_site_label
_atom_site_type_symbol
_atom_site_fract_x
_atom_site_fract_y
_atom_site_fract_z
_atom_site_occupancy
Tl1 Tl 0.7500 0.2500 0.5000 1
Tl2 Tl 0.5000 0.5000 0.0000 1
Bi1 Bi 0.1250 0.8750 0.7500 1
Bi2 Bi 0.6250 0.8750 0.7500 1
Bi3 Bi 0.1250 0.8750 0.2500 1
Bi4 Bi 0.1250 0.3750 0.2500 1
O1 O 0.9105 0.6369 0.2739 1
O2 O 0.3631 0.6366 0.7261 1
O3 O 0.3631 0.0895 0.7261 1
O4 O 0.8866 0.1131 0.2261 1
O5 O 0.8869 0.6605 0.7739 1
O6 O 0.8869 0.1134 0.7739 1
O7 O 0.3634 0.6369 0.2739 1
O8 O 0.3395 0.1131 0.2261 1
```

Results
The value obtained for the calculated volume is 262 Å³/cell. As for the space group: Fd-3m, No. 227. Its total energy is -72.94 eV per cell. The calculation puts the formation energy without anion corrections at -0.930 eV per atom.



Density functional theory data (PBE) for a relaxed ErLuFeCu crystal.

Cell and atoms, written as CIF:
```
data_ErLuFeCu
_symmetry_space_group_name_H-M 'P 1'
_symmetry_Int_Tables_number 1
_cell_length_a 4.7159
_cell_length_b 4.7159
_cell_length_c 4.7159
_cell_angle_alpha 60.00
_cell_angle_beta 60.00
_cell_angle_gamma 60.00
loop_
_symmetry_equiv_pos_as_xyz
'x,y,z'
loop_
_atom_site_label
_atom_site_type_symbol
_atom_site_fract_x
_atom_site_fract_y
_atom_site_fract_z
_atom_site_occupancy
Lu1 Lu 0.0000 0.0000 0.0000 1
Fe1 Fe 0.2500 0.2500 0.2500 1
Cu1 Cu 0.7500 0.7500 0.7500 1
Er1 Er 0.5000 0.5000 0.5000 1
```

Results
Its formation energy is -0.08 eV/atom. The value obtained for the calculated volume is 74 Å³/cell. As for the space group: F-43m, No. 216. Its total energy is -21.95 eV per cell.



Density functional theory data (PBE) for a relaxed Ti3CuSn crystal.

Cell and atoms, written as CIF:
```
data_Ti3CuSn
_symmetry_space_group_name_H-M 'P 1'
_symmetry_Int_Tables_number 1
_cell_length_a 5.0036
_cell_length_b 5.0036
_cell_length_c 5.0036
_cell_angle_alpha 90.00
_cell_angle_beta 90.00
_cell_angle_gamma 90.00
loop_
_symmetry_equiv_pos_as_xyz
'x,y,z'
loop_
_atom_site_label
_atom_site_type_symbol
_atom_site_fract_x
_atom_site_fract_y
_atom_site_fract_z
_atom_site_occupancy
Sn1 Sn 0.0000 0.0000 0.0000 1
Cu1 Cu 0.5000 0.5000 0.5000 1
Ti1 Ti 0.0000 0.5000 0.0000 1
Ti2 Ti 0.0000 0.0000 0.5000 1
Ti3 Ti 0.5000 0.0000 0.0000 1
```

Results
Its formation energy is 1.26 eV/atom. The value obtained for the calculated volume is 125 Å³/cell. As for the space group: Pm-3m, No. 221. Its total energy is -25.48 eV per cell. As for the excess energy over the best structure of this formula in the dataset: 1233 meV per atom.



Density functional theory data (PBE) for a relaxed YSe2F crystal.

Cell and atoms, written as CIF:
```
data_YSe2F
_symmetry_space_group_name_H-M 'P 1'
_symmetry_Int_Tables_number 1
_cell_length_a 7.5712
_cell_length_b 7.5712
_cell_length_c 7.5712
_cell_angle_alpha 33.05
_cell_angle_beta 33.05
_cell_angle_gamma 33.05
loop_
_symmetry_equiv_pos_as_xyz
'x,y,z'
loop_
_atom_site_label
_atom_site_type_symbol
_atom_site_fract_x
_atom_site_fract_y
_atom_site_fract_z
_atom_site_occupancy
Y1 Y 0.5000 0.5000 0.5000 1
Se1 Se 0.9002 0.9002 0.9002 1
Se2 Se 0.0998 0.0998 0.0998 1
F1 F 0.0000 0.0000 0.0000 1
```

Results
The value obtained for the calculated volume is 115 Å³/cell. As for the space group: R-3m, No. 166. Its total energy is -20.65 eV per cell. The calculation puts the formation energy without anion corrections at -1.336 eV per atom. As for the excess energy over the best structure of this formula in the dataset: 100 meV per atom.



Density functional theory data (PBE) for a relaxed MnSbSCl2 crystal.

Cell and atoms, written as CIF:
```
data_MnSbSCl2
_symmetry_space_group_name_H-M 'P 1'
_symmetry_Int_Tables_number 1
_cell_length_a 4.6270
_cell_length_b 4.6270
_cell_length_c 4.5507
_cell_angle_alpha 90.00
_cell_angle_beta 90.00
_cell_angle_gamma 90.00
loop_
_symmetry_equiv_pos_as_xyz
'x,y,z'
loop_
_atom_site_label
_atom_site_type_symbol
_atom_site_fract_x
_atom_site_fract_y
_atom_site_fract_z
_atom_site_occupancy
Sb1 Sb 0.5000 0.5000 0.5000 1
S1 S 0.0000 0.0000 0.5000 1
Mn1 Mn 0.0000 0.0000 0.0000 1
Cl1 Cl 0.0000 0.5000 0.0000 1
Cl2 Cl 0.5000 0.0000 0.0000 1
```

Results
The value obtained for the calculated volume is 97 Å³/cell. As for the space group: P4/mmm, No. 123. Its total energy is -20.65 eV per cell. The calculation puts the formation energy without anion corrections at 0.092 eV per atom. As for the excess energy over the best structure of this formula in the dataset: 0 meV per atom.



Density functional theory data (PBE) for a relaxed CeHRh crystal.

Cell and atoms, written as CIF:
```
data_CeHRh
_symmetry_space_group_name_H-M 'P 1'
_symmetry_Int_Tables_number 1
_cell_length_a 4.0573
_cell_length_b 3.8375
_cell_length_c 6.6403
_cell_angle_alpha 106.81
_cell_angle_beta 90.00
_cell_angle_gamma 90.00
loop_
_symmetry_equiv_pos_as_xyz
'x,y,z'
loop_
_atom_site_label
_atom_site_type_symbol
_atom_site_fract_x
_atom_site_fract_y
_atom_site_fract_z
_atom_site_occupancy
Ce1 Ce 0.2750 0.8039 0.3688 1
Ce2 Ce 0.7750 0.0547 0.8709 1
H1 H 0.5859 0.2314 0.2238 1
H2 H 0.0859 0.6272 0.0160 1
Rh1 Rh 0.8082 0.3452 0.4514 1
Rh2 Rh 0.3082 0.5135 0.7883 1
```

Results
The value obtained for the calculated volume is 99 Å³/cell. As for the space group: Cmc2_1, No. 36. Its total energy is -36.97 eV per cell. As for the excess energy over the best structure of this formula in the dataset: 0 meV per atom.



- Look up the calculated volume of the sixth one.
  99 Å³/cell



Copy entry 3 word for word.
Density functional theory data (PBE) for a relaxed Ti3CuSn crystal.

Cell and atoms, written as CIF:
```
data_Ti3CuSn
_symmetry_space_group_name_H-M 'P 1'
_symmetry_Int_Tables_number 1
_cell_length_a 5.0036
_cell_length_b 5.0036
_cell_length_c 5.0036
_cell_angle_alpha 90.00
_cell_angle_beta 90.00
_cell_angle_gamma 90.00
loop_
_symmetry_equiv_pos_as_xyz
'x,y,z'
loop_
_atom_site_label
_atom_site_type_symbol
_atom_site_fract_x
_atom_site_fract_y
_atom_site_fract_z
_atom_site_occupancy
Sn1 Sn 0.0000 0.0000 0.0000 1
Cu1 Cu 0.5000 0.5000 0.5000 1
Ti1 Ti 0.0000 0.5000 0.0000 1
Ti2 Ti 0.0000 0.0000 0.5000 1
Ti3 Ti 0.5000 0.0000 0.0000 1
```

Results
Its formation energy is 1.26 eV/atom. The value obtained for the calculated volume is 125 Å³/cell. As for the space group: Pm-3m, No. 221. Its total energy is -25.48 eV per cell. As for the excess energy over the best structure of this formula in the dataset: 1233 meV per atom.